First-principles (PBE) data for a geometry-optimized CsAs2RuO8 structure, as listed in Alexandria.

Lattice parameters (Å, degrees): 5.0650 5.0650 9.5333 90.00 90.00 120.00
With the nearest neighbours (Å) after each atom.
Element x y z (fractional)
O1 0.0255 0.3264 0.6210  1 As 1.75
O2 0.3009 0.9745 0.6210  1 As 1.75
Cs1 0.0000 0.0000 0.0000  6 O 3.22
O3 0.3264 0.3009 0.3790  1 As 1.75
O4 0.6667 0.3333 0.1411  1 As 1.67
O5 0.9745 0.6736 0.3790  1 As 1.75
O6 0.6736 0.6991 0.6210  1 As 1.75
Ru1 0.0000 0.0000 0.5000  6 O 1.97
O7 0.6991 0.0255 0.3790  1 As 1.75
O8 0.3333 0.6667 0.8589  1 As 1.67
As1 0.3333 0.6667 0.6841  4 O 1.67-1.75
As2 0.6667 0.3333 0.3159  4 O 1.67-1.75

Calculated values
Fermi-level density of states	1.45	states/eV per cell
ΔE_f (raw)	-113.5	kJ per mole of atoms